No. 1
# Rb8HgAu2

A geometry-optimized Rb8HgAu2 structure (GGA-PBE, Alexandria via LeMat-Bulk).

Computed properties:
Energy of formation from the pure elements   -1.52 eV/f.u.
Space-group type   C2/m (12)

Geometry as POSCAR:
```
Rb8HgAu2
1.0
-5.559 -1.216 4.084
6.744 0.297 7.110
-2.505 9.031 -2.879
Hg Rb Au
1 8 2
Cartesian
-2.780 -0.608 2.042
1.710 1.817 6.718
-0.938 2.885 -0.154
1.030 5.508 3.863
-3.031 6.294 1.597
-0.382 5.226 8.469
1.566 0.521 2.550
-2.887 7.590 5.765
-2.350 2.603 4.452
0.447 6.243 0.309
3.792 3.084 3.921
```


No. 2
# Cu2GeClO

A geometry-optimized Cu2GeClO structure (GGA-PBE, Alexandria via LeMat-Bulk).

Computed properties:
E   -3.989 eV per atom
Space-group type   P4/mmm (123)

Geometry as POSCAR:
```
Cu2GeClO
1.0
-3.033 -1.714 -1.456
2.142 -1.455 -2.748
1.134 -5.010 3.536
Ge Cl Cu O
1 1 2 1
Cartesian
0.121 -4.090 -0.334
0.567 -2.505 1.768
-1.517 -0.857 -0.728
1.071 -0.727 -1.374
0.000 0.000 0.000
```


No. 3
# AlPd5

A geometry-optimized AlPd5 structure (GGA-PBE, Alexandria via LeMat-Bulk).

Computed properties:
Energy of formation from the pure elements   -2.70 eV/f.u.
Space-group type   Pnma (62)

Geometry as POSCAR:
```
AlPd5
1.0
4.019 0.000 0.000
0.000 8.214 0.000
0.000 0.000 10.955
Pd Al
20 4
Cartesian
1.005 7.623 6.242
3.014 5.893 5.014
3.014 6.440 7.712
1.005 2.321 5.940
3.014 3.516 10.190
1.005 5.041 8.942
1.005 4.477 3.680
1.005 1.774 3.243
3.014 5.881 2.234
3.014 3.737 7.275
1.005 7.280 3.465
3.014 6.427 10.492
3.014 0.934 7.490
3.014 3.173 2.013
1.005 2.333 8.721
1.005 7.843 9.157
1.005 1.786 0.463
3.014 0.370 1.797
1.005 4.697 0.765
3.014 0.590 4.713
1.005 5.043 6.359
1.005 7.278 0.882
3.014 3.171 4.595
3.014 0.936 10.073
```


No. 4
# YTl2Ru

A geometry-optimized YTl2Ru structure (GGA-PBE, Alexandria via LeMat-Bulk).

Computed properties:
Energy above the most stable polymorph in this dataset   0.261 eV/atom
Energy of formation from the pure elements   1.08 eV/f.u.
Space-group type   I-42d (122)

Geometry as POSCAR:
```
YTl2Ru
1.0
4.254 0.000 0.000
0.000 4.254 0.000
2.127 2.127 10.764
Tl Y Ru
4 2 2
Cartesian
5.318 5.392 8.073
3.191 3.117 8.073
0.990 3.191 2.691
3.264 1.064 2.691
2.127 4.254 5.382
2.127 2.127 0.000
0.000 0.000 0.000
4.254 2.127 5.382
```


No. 5
# Tl2AgPd

A geometry-optimized Tl2AgPd structure (GGA-PBE, Alexandria via LeMat-Bulk).

Computed properties:
Energy above the most stable polymorph in this dataset   0.106 eV/atom
Energy of formation from the pure elements   0.61 eV/f.u.
Space-group type   I-42d (122)

Geometry as POSCAR:
```
Tl2AgPd
1.0
7.884 0.000 0.000
0.000 7.884 0.000
3.942 3.942 3.023
Pd Ag Tl
2 2 4
Cartesian
3.942 7.884 1.512
3.942 3.942 0.000
7.884 3.942 1.512
0.000 0.000 0.000
5.758 1.971 0.756
2.125 5.913 0.756
9.855 9.700 2.267
5.913 6.067 2.267
```


No. 6
# CePr3Y12

A geometry-optimized CePr3Y12 structure (GGA-PBE, Alexandria via LeMat-Bulk).

Computed properties:
Energy of formation from the pure elements   0.57 eV/f.u.
Space-group type   P4/mmm (123)

Geometry as POSCAR:
```
CePr3Y12
1.0
5.095 0.000 0.000
0.000 5.095 0.000
0.000 0.000 20.354
Y Pr Ce
12 3 1
Cartesian
2.548 0.000 2.485
2.548 2.548 10.177
0.000 2.548 17.869
2.548 2.548 5.068
2.548 0.000 7.613
0.000 2.548 7.613
0.000 2.548 2.485
2.548 0.000 17.869
2.548 0.000 12.742
2.548 2.548 0.000
2.548 2.548 15.286
0.000 2.548 12.742
0.000 0.000 5.046
0.000 0.000 15.309
0.000 0.000 10.177
0.000 0.000 0.000
```


Taking the records one at a time from the top gives D(E_F) values of 0.320; 0.378; 0.884; 0.856; 0.439; 1.613 states/eV/atom.
Taking the records one at a time from the top gives total magnetic moment values of 0.0; 0.9; 0.0; 0.0; 0.0; 1.0 μB/f.u..